Model w:
Crystalline In2CuMo at its relaxed geometry. Source: the Alexandria database, functional PBE-GGA.

Values from the calculation:
* magnetization: 0.247 μB/atom

```
In2CuMo
1.0
-3.661 3.661 2.880
3.661 -3.661 2.880
3.661 3.661 -2.880
In Cu Mo
4 2 2
direct
0.096 0.625 0.971
0.375 0.346 0.471
0.654 0.125 0.029
0.875 0.904 0.529
0.000 0.000 0.000
0.750 0.250 0.500
0.250 0.750 0.500
0.500 0.500 0.000
```

Model x:
Crystalline In2CuMo at its relaxed geometry. Source: the Alexandria database, functional PBE-GGA.

Values from the calculation:
* magnetization: 0.000 μB/atom

```
In2CuMo
1.0
5.331 -1.491 0.000
5.331 1.491 0.000
-1.833 0.000 4.603
In Cu Mo
2 1 1
direct
0.000 0.000 0.000
0.222 0.222 0.603
0.462 0.462 0.479
0.752 0.752 0.115
```

Stability ranking, top entry: model x; the second entry is 31.7 kJ/mol of atoms less favorable.